No. 1
## Ho5Hg12Pb3 (PBE-GGA)

Data for a geometry-optimized Ho5Hg12Pb3 structure.

Theoretical density, Mg/m³: 9.6
Space-group type: No. 230
Magnetization, Bohr magnetons per cell: 0.00
DFT formation energy, meV/atom: 119

Structure (CIF):
```
data_Ho5Hg12Pb3
_space_group_name_H-M_alt 'P 1'
_space_group_IT_number 1
_space_group_name_Hall 'P 1'
_cell_length_a 15.112
_cell_length_b 15.112
_cell_length_c 15.112
_cell_angle_alpha 109.47
_cell_angle_beta 109.47
_cell_angle_gamma 109.47
loop_
_atom_site_label
_atom_site_fract_x
_atom_site_fract_y
_atom_site_fract_z
Pb1 0.750 0.375 0.125
Pb2 0.875 0.750 0.125
Pb3 0.375 0.750 0.625
Pb4 0.250 0.125 0.375
Pb5 0.875 0.125 0.250
Pb6 0.375 0.625 0.250
Pb7 0.625 0.375 0.750
Pb8 0.125 0.875 0.750
Pb9 0.750 0.875 0.625
Pb10 0.625 0.250 0.375
Pb11 0.125 0.250 0.875
Pb12 0.250 0.625 0.875
Ho1 0.125 0.375 0.250
Ho2 0.000 0.500 0.000
Ho3 0.000 0.000 0.000
Ho4 0.375 0.250 0.125
Ho5 0.500 0.000 0.500
Ho6 0.500 0.500 0.000
Ho7 0.125 0.750 0.375
Ho8 0.750 0.125 0.875
Ho9 0.750 0.625 0.375
Ho10 0.375 0.125 0.750
Ho11 0.625 0.875 0.250
Ho12 0.500 0.500 0.500
Ho13 0.500 0.000 0.000
Ho14 0.000 0.000 0.500
Ho15 0.250 0.375 0.625
Ho16 0.250 0.875 0.125
Ho17 0.000 0.500 0.500
Ho18 0.875 0.250 0.625
Ho19 0.625 0.750 0.875
Ho20 0.875 0.625 0.750
Hg1 0.731 0.140 0.066
Hg2 0.336 0.566 0.426
Hg3 0.934 0.360 0.269
Hg4 0.566 0.231 0.140
Hg5 0.590 0.731 0.664
Hg6 0.934 0.574 0.164
Hg7 0.336 0.769 0.410
Hg8 0.074 0.910 0.140
Hg9 0.574 0.934 0.664
Hg10 0.731 0.590 0.164
Hg11 0.769 0.434 0.360
Hg12 0.836 0.926 0.066
Hg13 0.140 0.731 0.566
Hg14 0.360 0.426 0.090
Hg15 0.090 0.926 0.360
Hg16 0.410 0.140 0.574
Hg17 0.090 0.164 0.231
Hg18 0.434 0.664 0.074
Hg19 0.836 0.910 0.269
Hg20 0.140 0.410 0.074
Hg21 0.360 0.934 0.769
Hg22 0.574 0.640 0.410
Hg23 0.926 0.836 0.566
Hg24 0.769 0.336 0.910
Hg25 0.426 0.360 0.590
Hg26 0.074 0.164 0.434
Hg27 0.231 0.664 0.090
Hg28 0.164 0.090 0.731
Hg29 0.640 0.066 0.231
Hg30 0.860 0.590 0.926
Hg31 0.566 0.336 0.926
Hg32 0.590 0.860 0.426
Hg33 0.910 0.836 0.769
Hg34 0.910 0.074 0.640
Hg35 0.860 0.269 0.434
Hg36 0.164 0.074 0.934
Hg37 0.640 0.574 0.910
Hg38 0.426 0.066 0.336
Hg39 0.269 0.410 0.836
Hg40 0.231 0.566 0.640
Hg41 0.926 0.090 0.860
Hg42 0.664 0.231 0.590
Hg43 0.434 0.769 0.860
Hg44 0.066 0.426 0.836
Hg45 0.410 0.269 0.336
Hg46 0.066 0.640 0.731
Hg47 0.664 0.434 0.574
Hg48 0.269 0.860 0.934
```

=====

No. 2
## Be2ZnAu6 (PBE-GGA)

Data for a geometry-optimized Be2ZnAu6 structure.

Theoretical density, Mg/m³: 13.7
Space-group type: No. 139
Magnetization, Bohr magnetons per cell: 0.00
DFT formation energy, meV/atom: -90

Structure (CIF):
```
data_Be2ZnAu6
_space_group_name_H-M_alt 'P 1'
_space_group_IT_number 1
_space_group_name_Hall 'P 1'
_cell_length_a 4.081
_cell_length_b 4.081
_cell_length_c 9.670
_cell_angle_alpha 102.18
_cell_angle_beta 102.18
_cell_angle_gamma 90.00
loop_
_atom_site_label
_atom_site_fract_x
_atom_site_fract_y
_atom_site_fract_z
Be1 0.329 0.329 0.657
Be2 0.671 0.671 0.343
Zn1 0.000 0.000 0.000
Au1 0.906 0.406 0.812
Au2 0.406 0.906 0.812
Au3 0.094 0.594 0.188
Au4 0.750 0.250 0.500
Au5 0.250 0.750 0.500
Au6 0.594 0.094 0.188
```

=====

No. 3
## Nd2YHo5Th (PBE-GGA)

Data for a geometry-optimized Nd2YHo5Th structure.

Theoretical density, Mg/m³: 7.9
Space-group type: No. 36
Magnetization, Bohr magnetons per cell: 0.00
DFT formation energy, meV/atom: 168

Structure (CIF):
```
data_Nd2YHo5Th
_space_group_name_H-M_alt 'P 1'
_space_group_IT_number 1
_space_group_name_Hall 'P 1'
_cell_length_a 5.613
_cell_length_b 10.319
_cell_length_c 10.796
_cell_angle_alpha 90.00
_cell_angle_beta 90.00
_cell_angle_gamma 105.78
loop_
_atom_site_label
_atom_site_fract_x
_atom_site_fract_y
_atom_site_fract_z
Nd1 0.885 0.770 0.818
Nd2 0.115 0.229 0.733
Nd3 0.115 0.230 0.318
Nd4 0.885 0.771 0.233
Y1 0.799 0.597 0.509
Y2 0.201 0.403 0.009
Ho1 0.392 0.785 0.022
Ho2 0.719 0.438 0.811
Ho3 0.479 0.959 0.737
Ho4 0.300 0.600 0.710
Ho5 0.984 0.968 0.527
Ho6 0.608 0.215 0.522
Ho7 0.281 0.562 0.311
Ho8 0.521 0.041 0.237
Ho9 0.700 0.400 0.210
Ho10 0.016 0.032 0.027
Th1 0.583 0.166 0.957
Th2 0.417 0.834 0.457
```

=====

No. 4
## Ti5Tc3 (PBE-GGA)

Data for a geometry-optimized Ti5Tc3 structure.

Theoretical density, Mg/m³: 7.1
Space-group type: No. 123
Magnetization, Bohr magnetons per cell: 0.00
DFT formation energy, meV/atom: -399

Structure (CIF):
```
data_Ti5Tc3
_space_group_name_H-M_alt 'P 1'
_space_group_IT_number 1
_space_group_name_Hall 'P 1'
_cell_length_a 3.145
_cell_length_b 3.145
_cell_length_c 12.606
_cell_angle_alpha 90.00
_cell_angle_beta 90.00
_cell_angle_gamma 90.00
loop_
_atom_site_label
_atom_site_fract_x
_atom_site_fract_y
_atom_site_fract_z
Ti1 0.000 0.000 0.236
Ti2 0.500 0.500 0.615
Ti3 0.500 0.500 0.385
Ti4 0.000 0.000 0.764
Ti5 0.000 0.000 0.000
Tc1 0.500 0.500 0.126
Tc2 0.500 0.500 0.874
Tc3 0.000 0.000 0.500
```

=====

No. 5
## CsSm2AgTe4 (PBE-GGA)

Data for a geometry-optimized CsSm2AgTe4 structure.

Energy relative to the elements, uncorrected, eV/atom: -1.1684
Theoretical density, Mg/m³: 6.0
Space-group type: No. 63
Magnetization, Bohr magnetons per cell: 0.00

Structure (CIF):
```
data_CsSm2AgTe4
_space_group_name_H-M_alt 'P 1'
_space_group_IT_number 1
_space_group_name_Hall 'P 1'
_cell_length_a 4.579
_cell_length_b 8.218
_cell_length_c 16.063
_cell_angle_alpha 90.00
_cell_angle_beta 90.00
_cell_angle_gamma 106.18
loop_
_atom_site_label
_atom_site_fract_x
_atom_site_fract_y
_atom_site_fract_z
Cs1 0.119 0.238 0.750
Cs2 0.881 0.762 0.250
Sm1 0.369 0.739 0.567
Sm2 0.631 0.261 0.067
Sm3 0.631 0.261 0.433
Sm4 0.369 0.739 0.933
Ag1 0.837 0.674 0.750
Ag2 0.163 0.326 0.250
Te1 0.261 0.522 0.103
Te2 0.739 0.478 0.603
Te3 0.739 0.478 0.897
Te4 0.261 0.522 0.397
Te5 0.000 0.000 0.500
Te6 0.000 0.000 0.000
Te7 0.438 0.876 0.750
Te8 0.562 0.124 0.250
```

=====

No. 6
## BaRe2Si (PBE-GGA)

Data for a geometry-optimized BaRe2Si structure.

Energy relative to the elements, uncorrected, eV/atom: 0.6995
Theoretical density, Mg/m³: 8.7
Space-group type: No. 122
Magnetization, Bohr magnetons per cell: 0.00

Structure (CIF):
```
data_BaRe2Si
_space_group_name_H-M_alt 'P 1'
_space_group_IT_number 1
_space_group_name_Hall 'P 1'
_cell_length_a 4.874
_cell_length_b 4.874
_cell_length_c 9.299
_cell_angle_alpha 74.81
_cell_angle_beta 74.81
_cell_angle_gamma 90.00
loop_
_atom_site_label
_atom_site_fract_x
_atom_site_fract_y
_atom_site_fract_z
Re1 0.335 0.125 0.250
Re2 0.415 0.625 0.250
Re3 0.375 0.665 0.750
Re4 0.875 0.585 0.750
Si1 0.500 0.500 0.000
Si2 0.250 0.750 0.500
Ba1 0.000 0.000 0.000
Ba2 0.750 0.250 0.500
```

=====

No. 7
## BaSi4Pd6 (PBE-GGA)

Data for a geometry-optimized BaSi4Pd6 structure.

Energy relative to the elements, uncorrected, eV/atom: -0.6479
Theoretical density, Mg/m³: 8.1
Space-group type: No. 187
Magnetization, Bohr magnetons per cell: 0.00

Structure (CIF):
```
data_BaSi4Pd6
_space_group_name_H-M_alt 'P 1'
_space_group_IT_number 1
_space_group_name_Hall 'P 1'
_cell_length_a 4.110
_cell_length_b 7.164
_cell_length_c 7.164
_cell_angle_alpha 120.00
_cell_angle_beta 90.00
_cell_angle_gamma 90.00
loop_
_atom_site_label
_atom_site_fract_x
_atom_site_fract_y
_atom_site_fract_z
Ba1 0.000 0.000 0.000
Si1 0.500 0.793 0.585
Si2 0.500 0.415 0.207
Si3 0.500 0.793 0.207
Si4 0.000 0.333 0.667
Pd1 0.000 0.533 0.066
Pd2 0.500 0.595 0.797
Pd3 0.000 0.533 0.467
Pd4 0.000 0.934 0.467
Pd5 0.500 0.203 0.797
Pd6 0.500 0.203 0.405
```

=====

No. 8
## Sm4Dy5Y2 (PBE-GGA)

Data for a geometry-optimized Sm4Dy5Y2 structure.

Theoretical density, Mg/m³: 7.4
Space-group type: No. 12
Magnetization, Bohr magnetons per cell: 0.00
DFT formation energy, meV/atom: 103

Structure (CIF):
```
data_Sm4Dy5Y2
_space_group_name_H-M_alt 'P 1'
_space_group_IT_number 1
_space_group_name_Hall 'P 1'
_cell_length_a 5.666
_cell_length_b 6.594
_cell_length_c 10.026
_cell_angle_alpha 88.65
_cell_angle_beta 106.41
_cell_angle_gamma 90.00
loop_
_atom_site_label
_atom_site_fract_x
_atom_site_fract_y
_atom_site_fract_z
Sm1 0.304 0.073 0.609
Sm2 0.020 0.714 0.040
Sm3 0.696 0.927 0.391
Sm4 0.980 0.286 0.960
Dy1 0.792 0.402 0.584
Dy2 0.208 0.598 0.416
Dy3 0.870 0.896 0.740
Dy4 0.500 0.000 0.000
Dy5 0.130 0.104 0.260
Y1 0.402 0.551 0.804
Y2 0.598 0.449 0.196
```

=====

No. 9
## Tb2ErTm7 (PBE-GGA)

Data for a geometry-optimized Tb2ErTm7 structure.

Theoretical density, Mg/m³: 9.2
Space-group type: No. 2
Magnetization, Bohr magnetons per cell: 0.00
DFT formation energy, meV/atom: 24

Structure (CIF):
```
data_Tb2ErTm7
_space_group_name_H-M_alt 'P 1'
_space_group_IT_number 1
_space_group_name_Hall 'P 1'
_cell_length_a 6.050
_cell_length_b 10.478
_cell_length_c 11.043
_cell_angle_alpha 137.52
_cell_angle_beta 56.84
_cell_angle_gamma 140.26
loop_
_atom_site_label
_atom_site_fract_x
_atom_site_fract_y
_atom_site_fract_z
Tb1 0.401 0.600 0.400
Tb2 0.599 0.400 0.600
Er1 0.000 0.000 0.000
Tm1 0.100 0.901 0.600
Tm2 0.900 0.099 0.400
Tm3 0.299 0.700 0.801
Tm4 0.701 0.300 0.199
Tm5 0.200 0.799 0.199
Tm6 0.800 0.201 0.801
Tm7 0.500 0.500 0.000
```

=====

No. 10
## Pm6Y3Er2 (PBE-GGA)

Data for a geometry-optimized Pm6Y3Er2 structure.

Theoretical density, Mg/m³: 6.7
Space-group type: No. 166
Magnetization, Bohr magnetons per cell: 0.00
DFT formation energy, meV/atom: 14

Structure (CIF):
```
data_Pm6Y3Er2
_space_group_name_H-M_alt 'P 1'
_space_group_IT_number 1
_space_group_name_Hall 'P 1'
_cell_length_a 3.607
_cell_length_b 3.607
_cell_length_c 32.253
_cell_angle_alpha 86.79
_cell_angle_beta 86.79
_cell_angle_gamma 60.00
loop_
_atom_site_label
_atom_site_fract_x
_atom_site_fract_y
_atom_site_fract_z
Pm1 0.909 0.909 0.274
Pm2 0.091 0.091 0.726
Pm3 0.818 0.818 0.547
Pm4 0.182 0.182 0.453
Pm5 0.636 0.636 0.091
Pm6 0.364 0.364 0.909
Y1 0.000 0.000 0.000
Y2 0.727 0.727 0.818
Y3 0.273 0.273 0.182
Er1 0.546 0.546 0.363
Er2 0.454 0.454 0.637
```